(1)
Below is crystalline HoPbNO at its relaxed geometry, with properties calculated at the PBE-GGA level.

The structure belongs to space group P4/nmm (No. 129, origin choice 2); the cell edges are 4.4010, 4.4010 and 8.3029 Å and the angles 90.00°, 90.00° and 90.00°. The inequivalent atoms are Ho at (0.2500, 0.2500, 0.0931), Pb at (0.2500, 0.7500, 0.5000), N at (0.2500, 0.2500, 0.3528) and O at (0.2500, 0.7500, 0.0000).

Its final energy is -6.65 eV/atom. The calculation puts the total magnetization at 0.00 μB/cell.

(2)
Below is crystalline HoPbNO at its relaxed geometry, with properties calculated at the PBE-GGA level.

The structure belongs to space group P4/nmm (No. 129, origin choice 2); the cell edges are 4.3489, 4.3489 and 8.4889 Å and the angles 90.00°, 90.00° and 90.00°. The inequivalent atoms are Ho at (0.2500, 0.7500, 0.0000), Pb at (0.2500, 0.2500, 0.3789), N at (0.2500, 0.2500, 0.9227) and O at (0.2500, 0.7500, 0.5000).

Its final energy is -6.35 eV/atom. The calculation puts the total magnetization at 0.00 μB/cell.

(3)
Below is crystalline HoPbNO at its relaxed geometry, with properties calculated at the PBE-GGA level.

The structure belongs to space group Pmc2_1 (No. 26); the cell edges are 3.8259, 6.3558 and 6.3733 Å and the angles 90.00°, 90.00° and 90.00°. The inequivalent atoms are Ho at (0.0000, 0.1811, 0.0000), Pb at (0.5000, 0.3089, 0.4744), N at (0.5000, 0.3543, 0.0747) and O at (0.0000, 0.1069, 0.6755).

Its final energy is -6.67 eV/atom. The calculation puts the total magnetization at 0.00 μB/cell.

(4)
Below is crystalline HoPdNO at its relaxed geometry, with properties calculated at the PBE-GGA level.

The structure belongs to space group Pmc2_1 (No. 26); the cell edges are 3.9052, 5.5926 and 5.1124 Å and the angles 90.00°, 90.00° and 90.00°. The inequivalent atoms are Ho at (0.0000, 0.2359, 0.0000), Pd at (0.5000, 0.1956, 0.5261), N at (0.0000, 0.1839, 0.4499) and O at (0.5000, 0.3733, 0.8898).

Its final energy is -6.85 eV/atom. The calculation puts the total magnetization at 0.01 μB/cell.

(5)
Below is crystalline HoPdNO at its relaxed geometry, with properties calculated at the PBE-GGA level.

The structure belongs to space group P4/nmm (No. 129, origin choice 2); the cell edges are 4.1484, 4.1484 and 7.0698 Å and the angles 90.00°, 90.00° and 90.00°. The inequivalent atoms are Ho at (0.2500, 0.2500, 0.1306), Pd at (0.2500, 0.7500, 0.5000), N at (0.2500, 0.2500, 0.4450) and O at (0.2500, 0.7500, 0.0000).

Its final energy is -7.17 eV/atom. The calculation puts the total magnetization at 0.00 μB/cell.

(6)
Below is crystalline HoPdNO at its relaxed geometry, with properties calculated at the PBE-GGA level.

The structure belongs to space group Pmc2_1 (No. 26); the cell edges are 3.9847, 6.8190 and 4.3609 Å and the angles 90.00°, 90.00° and 90.00°. The inequivalent atoms are Ho at (0.0000, 0.1874, 0.0000), Pd at (0.5000, 0.3830, 0.4983), N at (0.5000, 0.3262, 0.9872) and O at (0.0000, 0.1320, 0.4990).

Its final energy is -7.00 eV/atom. The calculation puts the total magnetization at 0.01 μB/cell.

(7)
Below is crystalline HoPdNO at its relaxed geometry, with properties calculated at the PBE-GGA level.

The structure belongs to space group P4/nmm (No. 129, origin choice 2); the cell edges are 4.7711, 4.7711 and 4.4927 Å and the angles 90.00°, 90.00° and 90.00°. The inequivalent atoms are Ho at (0.2500, 0.7500, 0.0000), Pd at (0.2500, 0.2500, 0.4990), N at (0.2500, 0.2500, 0.9985) and O at (0.2500, 0.7500, 0.5000).

Its final energy is -6.90 eV/atom. The calculation puts the total magnetization at 0.00 μB/cell.

(8)
Below is crystalline PmHoNO at its relaxed geometry, with properties calculated at the PBE-GGA level.

The structure belongs to space group P4/nmm (No. 129, origin choice 2); the cell edges are 4.4212, 4.4212 and 8.2538 Å and the angles 90.00°, 90.00° and 90.00°. The inequivalent atoms are Pm at (0.2500, 0.2500, 0.1038), Ho at (0.2500, 0.7500, 0.5000), N at (0.2500, 0.2500, 0.5692) and O at (0.2500, 0.7500, 0.0000).

Its final energy is -7.44 eV/atom. The calculation puts the total magnetization at 0.00 μB/cell.

(9)
Below is crystalline PmHoNO at its relaxed geometry, with properties calculated at the PBE-GGA level.

The structure belongs to space group Pmma (No. 51); the cell edges are 4.9575, 4.0292 and 6.9580 Å and the angles 90.00°, 90.00° and 90.00°. The inequivalent atoms are Pm at (0.2500, 0.0000, 0.1647), Ho at (0.2500, 0.5000, 0.6661), N at (0.2500, 0.5000, 0.3443) and O at (0.2500, 0.0000, 0.8094).

Its final energy is -7.83 eV/atom. The calculation puts the total magnetization at 0.01 μB/cell.

(10)
Below is crystalline PmHoNO at its relaxed geometry, with properties calculated at the PBE-GGA level.

The structure belongs to space group P4/nmm (No. 129, origin choice 2); the cell edges are 4.9498, 4.9498 and 4.8761 Å and the angles 90.00°, 90.00° and 90.00°. The inequivalent atoms are Pm at (0.2500, 0.7500, 0.0000), Ho at (0.2500, 0.2500, 0.4992), N at (0.2500, 0.2500, 0.9996) and O at (0.2500, 0.7500, 0.5000).

Its final energy is -7.86 eV/atom. The calculation puts the total magnetization at 0.00 μB/cell.

(11)
Below is crystalline PmHoNO at its relaxed geometry, with properties calculated at the PBE-GGA level.

The structure belongs to space group Pca2_1 (No. 29); the cell edges are 6.7438, 8.2368 and 5.0114 Å and the angles 90.00°, 90.00° and 90.00°. The inequivalent atoms are Pm at (0.0796, 0.1295, 0.0000), Ho at (0.0731, 0.6205, 0.0001), N at (0.0629, 0.1338, 0.4993) and O at (0.0974, 0.6185, 0.5023).

Its final energy is -7.76 eV/atom. The calculation puts the total magnetization at 0.02 μB/cell.

(12)
Below is crystalline PmHoNO at its relaxed geometry, with properties calculated at the PBE-GGA level.

The structure belongs to space group Pbcm (No. 57); the cell edges are 8.1490, 6.7185 and 4.9903 Å and the angles 90.00°, 90.00° and 90.00°. The inequivalent atoms are Pm at (0.1250, 0.0688, 0.2500), Ho at (0.3772, 0.5848, 0.2500), N at (0.3823, 0.5778, 0.7500) and O at (0.1425, 0.0879, 0.7500).

Its final energy is -7.81 eV/atom. The calculation puts the total magnetization at 0.01 μB/cell.